# 1
# PBEsol YSi2Br, relaxed
data_YSi2Br
_cell_length_a 3.364
_cell_length_b 3.364
_cell_length_c 7.653
_cell_angle_alpha 90.00
_cell_angle_beta 90.00
_cell_angle_gamma 90.00
_symmetry_space_group_name_H-M 'P 4 m m'
_symmetry_Int_Tables_number 99
loop_
_symmetry_equiv_pos_as_xyz
'x,y,z'
'-y,x,z'
'-x,-y,z'
'y,-x,z'
'-x,y,z'
'y,x,z'
'x,-y,z'
'-y,-x,z'
loop_
_atom_site_label
_atom_site_type_symbol
_atom_site_fract_x
_atom_site_fract_y
_atom_site_fract_z
Y1 Y 0.000 0.000 0.000
Si1 Si 0.000 0.000 0.384
Si2 Si 0.500 0.500 0.261
Br1 Br 0.500 0.500 0.774
# total moment = 0.0 μB/f.u.
# E_tot = -5.50 eV/atom
# formation energy from raw total energies = -0.451 eV per atom
# E above lowest polymorph = 0.0 meV/atom

# 2
# PBEsol YHf3S, relaxed
data_YHf3S
_cell_length_a 4.828
_cell_length_b 4.828
_cell_length_c 4.828
_cell_angle_alpha 90.00
_cell_angle_beta 90.00
_cell_angle_gamma 90.00
_symmetry_space_group_name_H-M 'P m -3 m'
_symmetry_Int_Tables_number 221
_symmetry_space_group_name_Hall '-P 4 2 3'
loop_
_atom_site_label
_atom_site_type_symbol
_atom_site_fract_x
_atom_site_fract_y
_atom_site_fract_z
Y1 Y 0.000 0.000 0.000
Hf1 Hf 0.000 0.500 0.500
S1 S 0.500 0.500 0.500
# total moment = 0.0 μB/f.u.
# E_tot = -9.03 eV/atom
# formation energy from raw total energies = -0.487 eV per atom

# 3
# PBEsol CoNiIr2, relaxed
data_CoNiIr2
_cell_length_a 8.437
_cell_length_b 2.634
_cell_length_c 4.566
_cell_angle_alpha 90.00
_cell_angle_beta 100.36
_cell_angle_gamma 90.00
_symmetry_space_group_name_H-M 'C 1 2/m 1'
_symmetry_Int_Tables_number 12
loop_
_symmetry_equiv_pos_as_xyz
'x,y,z'
'-x,-y,-z'
'-x,y,-z'
'x,-y,z'
'x+1/2,y+1/2,z'
'-x+1/2,-y+1/2,-z'
'-x+1/2,y+1/2,-z'
'x+1/2,-y+1/2,z'
loop_
_atom_site_label
_atom_site_type_symbol
_atom_site_fract_x
_atom_site_fract_y
_atom_site_fract_z
Co1 Co 0.000 0.000 0.000
Ni1 Ni 0.000 0.500 0.500
Ir1 Ir 0.248 0.500 0.249
# total moment = 2.3 μB/f.u.
# E_tot = -8.35 eV/atom
# E above lowest polymorph = 46.1 meV/atom
# energy of formation from the pure elements = 0.040 eV per atom

# 4
# PBEsol La2ScTaSb, relaxed
data_La2ScTaSb
_cell_length_a 5.486
_cell_length_b 5.486
_cell_length_c 5.318
_cell_angle_alpha 90.00
_cell_angle_beta 90.00
_cell_angle_gamma 90.00
_symmetry_space_group_name_H-M 'P 4/m m m'
_symmetry_Int_Tables_number 123
_symmetry_space_group_name_Hall '-P 4 2'
loop_
_atom_site_label
_atom_site_type_symbol
_atom_site_fract_x
_atom_site_fract_y
_atom_site_fract_z
La1 La 0.000 0.500 0.000
Sc1 Sc 0.000 0.000 0.500
Ta1 Ta 0.500 0.500 0.000
Sb1 Sb 0.500 0.500 0.500
# total moment = 0.3 μB/f.u.
# E_tot = -6.42 eV/atom
# formation energy from raw total energies = 0.461 eV per atom

# 5
# PBEsol Nd3Ga2, relaxed
data_Nd3Ga2
_cell_length_a 11.744
_cell_length_b 11.744
_cell_length_c 15.296
_cell_angle_alpha 90.00
_cell_angle_beta 90.00
_cell_angle_gamma 90.00
_symmetry_space_group_name_H-M 'I 4/m c m'
_symmetry_Int_Tables_number 140
_symmetry_space_group_name_Hall '-I 4 2c'
loop_
_atom_site_label
_atom_site_type_symbol
_atom_site_fract_x
_atom_site_fract_y
_atom_site_fract_z
Nd1 Nd 0.000 0.500 0.151
Nd2 Nd 0.067 0.199 0.134
Nd3 Nd 0.167 0.333 0.500
Ga1 Ga 0.000 0.000 0.000
Ga2 Ga 0.000 0.000 0.250
Ga3 Ga 0.115 0.385 0.000
Ga4 Ga 0.180 0.320 0.296
# total moment = 0.0 μB/f.u.
# E_tot = -4.93 eV/atom
# energy of formation from the pure elements = -0.496 eV per atom

# 6
# PBEsol LaGa2Pt3, relaxed
data_LaGa2Pt3
_cell_length_a 5.5739
_cell_length_b 5.5739
_cell_length_c 3.9959
_cell_angle_alpha 90.00
_cell_angle_beta 90.00
_cell_angle_gamma 120.00
_symmetry_space_group_name_H-M 'P 6/m m m'
_symmetry_Int_Tables_number 191
_symmetry_space_group_name_Hall '-P 6 2'
loop_
_atom_site_label
_atom_site_type_symbol
_atom_site_fract_x
_atom_site_fract_y
_atom_site_fract_z
La1 La 0.0000 0.0000 0.0000
Ga1 Ga 0.3333 0.6667 0.0000
Pt1 Pt 0.0000 0.5000 0.5000
# total moment = 0.0 μB/f.u.
# E_tot = -6.42 eV/atom
# energy of formation from the pure elements = -0.937 eV per atom

# 7
# PBEsol Zn3Rh5, relaxed
data_Zn3Rh5
_cell_length_a 6.084
_cell_length_b 8.368
_cell_length_c 4.179
_cell_angle_alpha 90.00
_cell_angle_beta 90.00
_cell_angle_gamma 90.00
_symmetry_space_group_name_H-M 'C m m m'
_symmetry_Int_Tables_number 65
_symmetry_space_group_name_Hall '-C 2 2'
loop_
_atom_site_label
_atom_site_type_symbol
_atom_site_fract_x
_atom_site_fract_y
_atom_site_fract_z
Zn1 Zn 0.000 0.000 0.000
Zn2 Zn 0.000 0.260 0.500
Rh1 Rh 0.000 0.500 0.000
Rh2 Rh 0.238 0.000 0.500
Rh3 Rh 0.250 0.250 0.000
# total moment = 0.1 μB/f.u.
# E_tot = -5.86 eV/atom
# energy of formation from the pure elements = -0.176 eV per atom

# 8
# PBEsol BaAlCd, relaxed
data_BaAlCd
_cell_length_a 4.9883
_cell_length_b 4.9883
_cell_length_c 4.1578
_cell_angle_alpha 90.00
_cell_angle_beta 90.00
_cell_angle_gamma 120.00
_symmetry_space_group_name_H-M 'P -6 m 2'
_symmetry_Int_Tables_number 187
_symmetry_space_group_name_Hall 'P -6 2'
loop_
_atom_site_label
_atom_site_type_symbol
_atom_site_fract_x
_atom_site_fract_y
_atom_site_fract_z
Ba1 Ba 0.0000 0.0000 0.0000
Al1 Al 0.3333 0.6667 0.5000
Cd1 Cd 0.6667 0.3333 0.5000
# total moment = 0.0 μB/f.u.
# E_tot = -2.67 eV/atom
# energy of formation from the pure elements = -0.189 eV per atom

# 9
# PBEsol K2CaTl2, relaxed
data_K2CaTl2
_cell_length_a 4.649
_cell_length_b 4.649
_cell_length_c 16.457
_cell_angle_alpha 90.00
_cell_angle_beta 90.00
_cell_angle_gamma 90.00
_symmetry_space_group_name_H-M 'I 4/m m m'
_symmetry_Int_Tables_number 139
_symmetry_space_group_name_Hall '-I 4 2'
loop_
_atom_site_label
_atom_site_type_symbol
_atom_site_fract_x
_atom_site_fract_y
_atom_site_fract_z
K1 K 0.000 0.500 0.250
Ca1 Ca 0.000 0.000 0.000
Tl1 Tl 0.000 0.000 0.410
# total moment = 0.0 μB/f.u.
# E_tot = -1.93 eV/atom
# energy of formation from the pure elements = 0.005 eV per atom

# 10
# PBEsol GdPb3, relaxed
data_GdPb3
_cell_length_a 4.793
_cell_length_b 4.793
_cell_length_c 4.793
_cell_angle_alpha 90.00
_cell_angle_beta 90.00
_cell_angle_gamma 90.00
_symmetry_space_group_name_H-M 'P m -3 m'
_symmetry_Int_Tables_number 221
_symmetry_space_group_name_Hall '-P 4 2 3'
loop_
_atom_site_label
_atom_site_type_symbol
_atom_site_fract_x
_atom_site_fract_y
_atom_site_fract_z
Gd1 Gd 0.000 0.000 0.000
Pb1 Pb 0.000 0.500 0.500
# total moment = 6.9 μB/f.u.
# E_tot = -6.99 eV/atom
# energy of formation from the pure elements = -0.374 eV per atom

# 11
# PBEsol MnCoPSe2, relaxed
data_MnCoPSe2
_cell_length_a 4.485
_cell_length_b 4.485
_cell_length_c 4.223
_cell_angle_alpha 90.00
_cell_angle_beta 90.00
_cell_angle_gamma 90.00
_symmetry_space_group_name_H-M 'P 4/m m m'
_symmetry_Int_Tables_number 123
_symmetry_space_group_name_Hall '-P 4 2'
loop_
_atom_site_label
_atom_site_type_symbol
_atom_site_fract_x
_atom_site_fract_y
_atom_site_fract_z
Mn1 Mn 0.000 0.000 0.000
Co1 Co 0.000 0.000 0.500
P1 P 0.500 0.500 0.500
Se1 Se 0.000 0.500 0.000
# total moment = 0.0 μB/f.u.
# E_tot = -5.28 eV/atom
# formation energy from raw total energies = 0.914 eV per atom

# 12
# PBEsol Tl2FeAgSb, relaxed
data_Tl2FeAgSb
_cell_length_a 5.225
_cell_length_b 5.225
_cell_length_c 4.911
_cell_angle_alpha 90.00
_cell_angle_beta 90.00
_cell_angle_gamma 90.00
_symmetry_space_group_name_H-M 'P 4/m m m'
_symmetry_Int_Tables_number 123
_symmetry_space_group_name_Hall '-P 4 2'
loop_
_atom_site_label
_atom_site_type_symbol
_atom_site_fract_x
_atom_site_fract_y
_atom_site_fract_z
Tl1 Tl 0.000 0.500 0.000
Fe1 Fe 0.000 0.000 0.500
Ag1 Ag 0.000 0.000 0.000
Sb1 Sb 0.500 0.500 0.500
# total moment = 3.2 μB/f.u.
# E_tot = -3.57 eV/atom
# formation energy from raw total energies = 0.851 eV per atom

# 13
# PBEsol Pd3Pb2S2, relaxed
data_Pd3Pb2S2
_cell_length_a 5.9262
_cell_length_b 5.9262
_cell_length_c 13.7747
_cell_angle_alpha 90.00
_cell_angle_beta 90.00
_cell_angle_gamma 120.00
_symmetry_space_group_name_H-M 'R -3 m'
_symmetry_Int_Tables_number 166
_symmetry_space_group_name_Hall '-R 3 2"'
loop_
_atom_site_label
_atom_site_type_symbol
_atom_site_fract_x
_atom_site_fract_y
_atom_site_fract_z
Pd1 Pd 0.0000 0.5000 0.0000
Pb1 Pb 0.0000 0.0000 0.0000
Pb2 Pb 0.0000 0.0000 0.5000
S1 S 0.0000 0.0000 0.2184
# total moment = 0.0 μB/f.u.
# E_tot = -5.39 eV/atom
# formation energy from raw total energies = -0.438 eV per atom

# 14
# PBEsol NaBe2PtPb, relaxed
data_NaBe2PtPb
_cell_length_a 4.603
_cell_length_b 4.603
_cell_length_c 5.184
_cell_angle_alpha 90.00
_cell_angle_beta 90.00
_cell_angle_gamma 90.00
_symmetry_space_group_name_H-M 'P 4/m m m'
_symmetry_Int_Tables_number 123
_symmetry_space_group_name_Hall '-P 4 2'
loop_
_atom_site_label
_atom_site_type_symbol
_atom_site_fract_x
_atom_site_fract_y
_atom_site_fract_z
Na1 Na 0.000 0.000 0.000
Be1 Be 0.000 0.500 0.500
Pt1 Pt 0.500 0.500 0.000
Pb1 Pb 0.500 0.500 0.500
# total moment = 0.0 μB/f.u.
# E_tot = -3.15 eV/atom
# energy of formation from the pure elements = 0.924 eV per atom

# 15
# PBEsol PrCo2Si2, relaxed
data_PrCo2Si2
_cell_length_a 3.906
_cell_length_b 3.906
_cell_length_c 9.952
_cell_angle_alpha 90.00
_cell_angle_beta 90.00
_cell_angle_gamma 90.00
_symmetry_space_group_name_H-M 'I 4/m m m'
_symmetry_Int_Tables_number 139
_symmetry_space_group_name_Hall '-I 4 2'
loop_
_atom_site_label
_atom_site_type_symbol
_atom_site_fract_x
_atom_site_fract_y
_atom_site_fract_z
Pr1 Pr 0.000 0.000 0.000
Co1 Co 0.000 0.500 0.250
Si1 Si 0.000 0.000 0.366
# total moment = 0.0 μB/f.u.
# E_tot = -7.23 eV/atom
# formation energy from raw total energies = -0.800 eV per atom

# 16
# PBEsol NiIr2Ru, relaxed
data_NiIr2Ru
_cell_length_a 8.755
_cell_length_b 2.664
_cell_length_c 4.567
_cell_angle_alpha 90.00
_cell_angle_beta 100.19
_cell_angle_gamma 90.00
_symmetry_space_group_name_H-M 'C 1 2/m 1'
_symmetry_Int_Tables_number 12
loop_
_symmetry_equiv_pos_as_xyz
'x,y,z'
'-x,-y,-z'
'-x,y,-z'
'x,-y,z'
'x+1/2,y+1/2,z'
'-x+1/2,-y+1/2,-z'
'-x+1/2,y+1/2,-z'
'x+1/2,-y+1/2,z'
loop_
_atom_site_label
_atom_site_type_symbol
_atom_site_fract_x
_atom_site_fract_y
_atom_site_fract_z
Ni1 Ni 0.000 0.000 0.000
Ir1 Ir 0.249 0.500 0.248
Ru1 Ru 0.000 0.500 0.500
# total moment = 0.0 μB/f.u.
# E_tot = -8.97 eV/atom
# E above lowest polymorph = 35.8 meV/atom
# energy of formation from the pure elements = 0.025 eV per atom

# 17
# PBEsol YMg2ZrZn, relaxed
data_YMg2ZrZn
_cell_length_a 5.251
_cell_length_b 5.251
_cell_length_c 4.951
_cell_angle_alpha 90.00
_cell_angle_beta 90.00
_cell_angle_gamma 90.00
_symmetry_space_group_name_H-M 'P 4/m m m'
_symmetry_Int_Tables_number 123
_symmetry_space_group_name_Hall '-P 4 2'
loop_
_atom_site_label
_atom_site_type_symbol
_atom_site_fract_x
_atom_site_fract_y
_atom_site_fract_z
Y1 Y 0.000 0.000 0.000
Mg1 Mg 0.000 0.500 0.000
Zr1 Zr 0.500 0.500 0.500
Zn1 Zn 0.000 0.000 0.500
# total moment = 0.0 μB/f.u.
# E_tot = -2.91 eV/atom
# energy of formation from the pure elements = 1.273 eV per atom

# 18
# PBEsol BaHfMg2Nb, relaxed
data_BaHfMg2Nb
_cell_length_a 5.243
_cell_length_b 5.243
_cell_length_c 5.126
_cell_angle_alpha 90.00
_cell_angle_beta 90.00
_cell_angle_gamma 90.00
_symmetry_space_group_name_H-M 'P 4/m m m'
_symmetry_Int_Tables_number 123
_symmetry_space_group_name_Hall '-P 4 2'
loop_
_atom_site_label
_atom_site_type_symbol
_atom_site_fract_x
_atom_site_fract_y
_atom_site_fract_z
Ba1 Ba 0.000 0.000 0.000
Hf1 Hf 0.500 0.500 0.500
Mg1 Mg 0.000 0.500 0.000
Nb1 Nb 0.000 0.000 0.500
# total moment = 0.0 μB/f.u.
# E_tot = -3.43 eV/atom
# energy of formation from the pure elements = 1.954 eV per atom

# 19
# PBEsol LuCuPbSe3, relaxed
data_LuCuPbSe3
_cell_length_a 3.954
_cell_length_b 13.368
_cell_length_c 10.234
_cell_angle_alpha 90.00
_cell_angle_beta 90.00
_cell_angle_gamma 90.00
_symmetry_space_group_name_H-M 'C m c 21'
_symmetry_Int_Tables_number 36
loop_
_symmetry_equiv_pos_as_xyz
'x,y,z'
'-x,-y,z+1/2'
'-x,y,z'
'x,-y,z+1/2'
'x+1/2,y+1/2,z'
'-x+1/2,-y+1/2,z+1/2'
'-x+1/2,y+1/2,z'
'x+1/2,-y+1/2,z+1/2'
loop_
_atom_site_label
_atom_site_type_symbol
_atom_site_fract_x
_atom_site_fract_y
_atom_site_fract_z
Lu1 Lu 0.000 0.000 0.000
Cu1 Cu 0.000 0.468 0.250
Pb1 Pb 0.000 0.241 0.749
Se1 Se 0.000 0.079 0.250
Se2 Se 0.000 0.359 0.440
Se3 Se 0.000 0.360 0.059
# total moment = 0.0 μB/f.u.
# E_tot = -5.12 eV/atom
# formation energy from raw total energies = -0.993 eV per atom

# 20
# PBEsol RbBaRe3, relaxed
data_RbBaRe3
_cell_length_a 5.183
_cell_length_b 5.183
_cell_length_c 5.183
_cell_angle_alpha 90.00
_cell_angle_beta 90.00
_cell_angle_gamma 90.00
_symmetry_space_group_name_H-M 'P m -3 m'
_symmetry_Int_Tables_number 221
_symmetry_space_group_name_Hall '-P 4 2 3'
loop_
_atom_site_label
_atom_site_type_symbol
_atom_site_fract_x
_atom_site_fract_y
_atom_site_fract_z
Rb1 Rb 0.000 0.000 0.000
Ba1 Ba 0.500 0.500 0.500
Re1 Re 0.000 0.500 0.500
# total moment = 5.7 μB/f.u.
# E_tot = -4.84 eV/atom
# energy of formation from the pure elements = 3.798 eV per atom